Entry 1:
Ga2CoSnBr: optimized geometry, PBE-GGA.

Properties
As for the total magnetization: 0.00 μB per atom. The calculation puts the volume at 21.6 Å³ per atom. For the energy, the calculation gives -20.37 eV per formula unit.

```
Ga2CoSnBr
1.0
4.695 0.000 0.000
0.000 4.695 0.000
0.000 0.000 4.908
Ga Co Sn Br
2 1 1 1
Cartesian
0.000 2.347 0.000
2.347 0.000 0.000
0.000 0.000 0.000
0.000 0.000 2.454
2.347 2.347 2.454
```

---

Entry 2:
GaCoSn2Br: optimized geometry, PBE-GGA.

Properties
As for the total magnetization: 0.00 μB per atom. The calculation puts the volume at 23.2 Å³ per atom. For the energy, the calculation gives -20.88 eV per formula unit.

```
GaCoSn2Br
1.0
4.974 0.000 0.000
0.000 4.974 0.000
0.000 0.000 4.690
Ga Co Sn Br
1 1 2 1
Cartesian
0.000 0.000 0.000
0.000 0.000 2.345
0.000 2.487 2.345
2.487 0.000 2.345
2.487 2.487 0.000
```

---

Entry 3:
Tb6GaCo2Br3: optimized geometry, PBE-GGA.

Properties
As for the total magnetization: 0.00 μB per atom. The calculation puts the volume at 26.1 Å³ per atom. For the energy, the calculation gives -59.32 eV per formula unit.

```
Tb6GaCo2Br3
1.0
9.614 -1.943 0.000
9.614 1.943 0.000
-2.999 0.000 8.374
Tb Ga Co Br
6 1 2 3
Cartesian
-0.222 0.000 2.137
4.799 0.000 3.650
3.919 0.000 7.228
12.311 0.000 1.146
11.431 0.000 4.724
16.451 0.000 6.237
9.614 0.000 0.000
2.255 0.000 2.929
13.975 0.000 5.445
0.648 0.000 7.059
8.115 0.000 4.187
15.582 0.000 1.315
```

---

Entry 4:
ZnGaCo2Br: optimized geometry, PBE-GGA.

Properties
As for the total magnetization: 0.64 μB per atom. The calculation puts the volume at 22.7 Å³ per atom. For the energy, the calculation gives -15.24 eV per formula unit.

```
ZnGaCo2Br
1.0
4.531 0.000 0.000
0.000 4.531 0.000
0.000 0.000 5.538
Zn Ga Co Br
1 1 2 1
Cartesian
0.000 0.000 0.000
2.266 2.266 2.769
0.000 2.266 2.769
2.266 0.000 2.769
2.266 2.266 0.000
```

---

Entry 5:
CoGeBr3: optimized geometry, PBE-GGA.

Properties
For the polymorph energy (0 for the lowest one), the calculation gives 0.0 meV per atom. As for the total magnetization: 0.26 μB per atom. The calculation puts the volume at 23.7 Å³ per atom. For the energy, the calculation gives -15.91 eV per formula unit.

```
CoGeBr3
1.0
4.914 0.000 0.000
0.000 4.914 0.000
0.000 0.000 4.914
Co Ge Br
1 1 3
Cartesian
0.000 0.000 0.000
2.457 2.457 2.457
0.000 0.000 2.457
0.000 2.457 0.000
2.457 0.000 0.000
```

---

Entry 6:
CoGeBr3: optimized geometry, PBE-GGA.

Properties
For the polymorph energy (0 for the lowest one), the calculation gives 260.0 meV per atom. As for the total magnetization: 0.52 μB per atom. The calculation puts the volume at 31.3 Å³ per atom. For the energy, the calculation gives -14.61 eV per formula unit.

```
CoGeBr3
1.0
5.390 0.000 0.000
0.000 5.390 0.000
0.000 0.000 5.390
Co Ge Br
1 1 3
Cartesian
0.000 0.000 0.000
2.695 2.695 2.695
0.000 2.695 2.695
2.695 0.000 2.695
2.695 2.695 0.000
```

---

no.,calculated density (g/cm3)
1,6.09
2,6.38
3,7.33
4,4.86
5,5.19
6,3.94